No. 1
{
  "formula": "Ag2AsAu",
  "functional": "PBE-GGA",
  "state": "relaxed",
  "dft_energy_ev_per_atom": -3.3085,
  "crystal_system": "tetragonal",
  "dos_ef_per_ev_cell": 0.7,
  "vol_a3_per_cell": 73,
  "e_form_ev_per_atom": 0.099,
  "lattice": [[2.912, 0.000, 0.000], [0.000, 2.912, 0.000], [0.000, 0.000, 8.649]],
  "species": ["Ag", "Ag", "As", "Au"],
  "frac_coords": [[0.000, 0.000, 0.000], [0.500, 0.500, 0.244], [0.000, 0.000, 0.497], [0.500, 0.500, 0.755]]
}

No. 2
{
  "formula": "AgAsAu2",
  "functional": "PBE-GGA",
  "state": "relaxed",
  "dft_energy_ev_per_atom": -3.3953,
  "crystal_system": "monoclinic",
  "dos_ef_per_ev_cell": 1.5,
  "vol_a3_per_cell": 73,
  "e_form_ev_per_atom": 0.119,
  "lattice": [[2.567, -1.482, 0.000], [2.567, 1.482, 0.000], [-1.729, 0.000, 9.649]],
  "species": ["Ag", "As", "Au", "Au"],
  "frac_coords": [[0.000, 0.000, 0.000], [0.833, 0.833, 0.500], [0.416, 0.416, 0.247], [0.584, 0.584, 0.753]]
}

No. 3
{
  "formula": "AgAsAu2",
  "functional": "PBE-GGA",
  "state": "relaxed",
  "dft_energy_ev_per_atom": -3.3918,
  "crystal_system": "trigonal",
  "dos_ef_per_ev_cell": 1.5,
  "vol_a3_per_cell": 74,
  "e_form_ev_per_atom": 0.122,
  "lattice": [[1.545, 0.892, 8.935], [-1.545, 0.892, 8.935], [0.000, -1.784, 8.935]],
  "species": ["Ag", "As", "Au", "Au"],
  "frac_coords": [[0.000, 0.000, 0.000], [0.500, 0.500, 0.500], [0.248, 0.248, 0.248], [0.752, 0.752, 0.752]]
}

No. 4
{
  "formula": "BaAg2As2Au",
  "functional": "PBE-GGA",
  "state": "relaxed",
  "dft_energy_ev_per_atom": -3.7123,
  "crystal_system": "orthorhombic",
  "dos_ef_per_ev_cell": 6.5,
  "vol_a3_per_cell": 319,
  "e_form_ev_per_atom": -0.345,
  "lattice": [[7.238, 0.000, 0.000], [0.000, 9.663, 0.000], [0.000, 0.000, 4.560]],
  "species": ["Ba", "Ba", "Ag", "Ag", "Ag", "Ag", "As", "As", "As", "As", "Au", "Au"],
  "frac_coords": [[0.000, 0.000, 0.000], [0.500, 0.500, 0.500], [0.057, 0.311, 0.500], [0.443, 0.811, 0.000], [0.557, 0.189, 0.000], [0.943, 0.689, 0.500], [0.235, 0.310, 0.000], [0.265, 0.810, 0.500], [0.735, 0.190, 0.500], [0.765, 0.690, 0.000], [0.000, 0.500, 0.000], [0.500, 0.000, 0.500]]
}

No. 5
{
  "formula": "Ag2BiAsAu",
  "functional": "PBE-GGA",
  "state": "relaxed",
  "dft_energy_ev_per_atom": -2.5647,
  "crystal_system": "tetragonal",
  "dos_ef_per_ev_cell": 3.0,
  "vol_a3_per_cell": 156,
  "e_form_ev_per_atom": 0.937,
  "lattice": [[5.321, 0.000, 0.000], [0.000, 5.321, 0.000], [0.000, 0.000, 5.523]],
  "species": ["Ag", "Ag", "Bi", "As", "Au"],
  "frac_coords": [[0.000, 0.500, 0.000], [0.500, 0.000, 0.000], [0.000, 0.000, 0.000], [0.000, 0.000, 0.500], [0.500, 0.500, 0.500]]
}

No. 6
{
  "formula": "AgAsAuBr2",
  "functional": "PBE-GGA",
  "state": "relaxed",
  "dft_energy_ev_per_atom": -2.3386,
  "relative_energy_ev_per_atom": 0.000,
  "raw_formation_energy_mev_per_atom": 486,
  "crystal_system": "tetragonal",
  "dos_ef_per_ev_cell": 3.1,
  "vol_a3_per_cell": 148,
  "lattice": [[5.444, 0.000, 0.000], [0.000, 5.444, 0.000], [0.000, 0.000, 4.992]],
  "species": ["Ag", "As", "Au", "Br", "Br"],
  "frac_coords": [[0.000, 0.000, 0.000], [0.500, 0.500, 0.000], [0.500, 0.500, 0.500], [0.000, 0.500, 0.500], [0.500, 0.000, 0.500]]
}

No. 7
{
  "formula": "CeAgAsAu",
  "functional": "PBE-GGA",
  "state": "relaxed",
  "dft_energy_ev_per_atom": -4.7354,
  "crystal_system": "cubic",
  "dos_ef_per_ev_cell": 6.0,
  "vol_a3_per_cell": 87,
  "e_form_ev_per_atom": -0.557,
  "lattice": [[0.000, 3.512, 3.512], [3.512, 0.000, 3.512], [3.512, 3.512, 0.000]],
  "species": ["Ce", "Ag", "As", "Au"],
  "frac_coords": [[0.000, 0.000, 0.000], [0.500, 0.500, 0.500], [0.750, 0.750, 0.750], [0.250, 0.250, 0.250]]
}

No. 8
{
  "formula": "CsAgAsAu2",
  "functional": "PBE-GGA",
  "state": "relaxed",
  "dft_energy_ev_per_atom": -3.0555,
  "crystal_system": "tetragonal",
  "dos_ef_per_ev_cell": 1.2,
  "vol_a3_per_cell": 143,
  "e_form_ev_per_atom": -0.074,
  "lattice": [[5.217, 0.000, 0.000], [0.000, 5.217, 0.000], [0.000, 0.000, 5.246]],
  "species": ["Cs", "Ag", "As", "Au", "Au"],
  "frac_coords": [[0.000, 0.000, 0.000], [0.500, 0.500, 0.000], [0.500, 0.500, 0.500], [0.000, 0.500, 0.500], [0.500, 0.000, 0.500]]
}

What is the formula in the fifth record? Ag2BiAsAu